No. 1
First-principles (GGA-PBE) data for an optimized crystal structure of Pr3AgO, as listed in Alexandria via LeMat-Bulk.

a b c (Å): 6.501 8.981 9.999
angles (deg): 120.12 90.00 90.00
Sites, in units of the cell vectors:
Pr: 0.909 0.143 0.952
O: 0.247 0.467 0.390
Pr: 0.091 0.857 0.048
Pr: 0.410 0.209 0.146
Pr: 0.090 0.709 0.646
O: 0.753 0.533 0.610
Pr: 0.609 0.910 0.265
Ag: 0.843 0.994 0.591
Pr: 0.409 0.357 0.548
Ag: 0.343 0.506 0.909
Pr: 0.910 0.291 0.354
Ag: 0.657 0.494 0.091
O: 0.747 0.033 0.110
Pr: 0.591 0.643 0.452
Pr: 0.590 0.791 0.854
Pr: 0.891 0.410 0.765
O: 0.253 0.967 0.890
Ag: 0.157 0.006 0.409
Pr: 0.391 0.090 0.735
Pr: 0.109 0.590 0.235

Values from the calculation:
Uncorrected formation energy: -5.4 eV per formula unit
DOS at the Fermi energy: 18.77 states/eV per cell
Symmetry: P2_1/c

No. 2
First-principles (GGA-PBE) data for an optimized crystal structure of Pr12Ag3O5, as listed in Alexandria via LeMat-Bulk.

a b c (Å): 14.008 14.008 14.008
angles (deg): 109.47 109.47 109.47
Sites, in units of the cell vectors:
Pr: 0.186 0.091 0.700
Pr: 0.909 0.814 0.800
Pr: 0.200 0.686 0.091
Pr: 0.986 0.596 0.186
Pr: 0.486 0.686 0.096
Ag: 0.250 0.625 0.875
O: 0.250 0.375 0.625
Pr: 0.300 0.409 0.814
Ag: 0.750 0.875 0.625
O: 0.625 0.875 0.250
Pr: 0.904 0.091 0.891
O: 0.375 0.250 0.125
Ag: 0.625 0.375 0.750
Pr: 0.891 0.591 0.904
O: 0.625 0.750 0.875
Pr: 0.800 0.486 0.391
Pr: 0.814 0.904 0.014
Pr: 0.514 0.314 0.904
Ag: 0.375 0.625 0.250
Ag: 0.250 0.125 0.375
Pr: 0.314 0.800 0.409
O: 0.500 0.000 0.000
Pr: 0.300 0.891 0.986
O: 0.500 0.500 0.500
Pr: 0.609 0.014 0.200
Ag: 0.750 0.375 0.125
Pr: 0.409 0.109 0.596
O: 0.750 0.125 0.875
Pr: 0.186 0.096 0.986
Pr: 0.686 0.200 0.591
O: 0.000 0.500 0.000
Ag: 0.375 0.750 0.625
Pr: 0.014 0.404 0.814
O: 0.125 0.750 0.375
Pr: 0.391 0.986 0.800
Pr: 0.091 0.186 0.200
Pr: 0.591 0.891 0.404
Pr: 0.091 0.904 0.391
Pr: 0.596 0.986 0.686
Pr: 0.904 0.814 0.514
Pr: 0.014 0.609 0.700
Pr: 0.391 0.404 0.091
Ag: 0.625 0.250 0.375
Pr: 0.686 0.486 0.596
Ag: 0.125 0.250 0.875
O: 0.500 0.000 0.500
O: 0.000 0.000 0.500
Ag: 0.125 0.875 0.750
O: 0.875 0.250 0.625
O: 0.125 0.375 0.250
Pr: 0.486 0.800 0.891
O: 0.750 0.625 0.375
Pr: 0.909 0.096 0.609
Pr: 0.096 0.186 0.486
Pr: 0.109 0.700 0.514
O: 0.000 0.000 0.000
O: 0.000 0.500 0.500
Ag: 0.875 0.750 0.125
Pr: 0.986 0.391 0.300
Pr: 0.800 0.314 0.909
O: 0.375 0.125 0.750
Pr: 0.591 0.700 0.686
O: 0.500 0.500 0.000
Pr: 0.514 0.200 0.109
Pr: 0.200 0.514 0.609
Pr: 0.409 0.300 0.314
Pr: 0.109 0.409 0.096
Pr: 0.404 0.391 0.591
Pr: 0.891 0.300 0.486
Ag: 0.875 0.125 0.250
Pr: 0.814 0.909 0.300
Pr: 0.314 0.514 0.404
Pr: 0.404 0.014 0.314
Pr: 0.700 0.109 0.014
O: 0.250 0.875 0.125
Pr: 0.096 0.909 0.109
O: 0.875 0.625 0.750
Pr: 0.609 0.596 0.909
Pr: 0.700 0.591 0.186
Pr: 0.596 0.609 0.409

Values from the calculation:
Uncorrected formation energy: -27.3 eV per formula unit
DOS at the Fermi energy: 76.95 states/eV per cell
Symmetry: Ia-3d

No. 3
First-principles (GGA-PBE) data for an optimized crystal structure of Pr2AgPtO6, as listed in Alexandria via LeMat-Bulk.

a b c (Å): 5.897 5.897 5.878
angles (deg): 59.87 59.88 60.01
Sites, in units of the cell vectors:
O: 0.192 0.978 0.256
Pr: 0.035 0.035 0.895
O: 0.663 0.126 0.780
O: 0.574 0.192 0.256
O: 0.431 0.663 0.780
O: 0.978 0.574 0.256
Ag: 0.802 0.802 0.594
O: 0.126 0.431 0.780
Pr: 0.542 0.542 0.375
Pt: 0.319 0.319 0.044

Values from the calculation:
Uncorrected formation energy: -17.9 eV per formula unit
DOS at the Fermi energy: 8.18 states/eV per cell
Symmetry: R3

No. 4
First-principles (GGA-PBE) data for an optimized crystal structure of Pr2AgPtO5, as listed in Alexandria via LeMat-Bulk.

a b c (Å): 5.788 6.937 6.937
angles (deg): 90.00 90.00 90.00
Sites, in units of the cell vectors:
Ag: 0.000 0.000 0.000
O: 0.500 0.500 0.500
O: 0.746 0.866 0.366
Ag: 0.000 0.500 0.500
O: 0.746 0.634 0.866
O: 0.254 0.866 0.366
O: 0.746 0.134 0.634
O: 0.254 0.366 0.134
O: 0.746 0.366 0.134
Pt: 0.000 0.500 0.000
O: 0.254 0.634 0.866
Pr: 0.500 0.177 0.323
Pr: 0.500 0.323 0.823
O: 0.254 0.134 0.634
Pt: 0.000 0.000 0.500
Pr: 0.500 0.677 0.177
Pr: 0.500 0.823 0.677
O: 0.500 0.000 0.000

Values from the calculation:
Uncorrected formation energy: -16.7 eV per formula unit
DOS at the Fermi energy: 13.59 states/eV per cell
Symmetry: P4/mbm

No. 5
First-principles (GGA-PBE) data for an optimized crystal structure of Pr2PuAgO8, as listed in Alexandria via LeMat-Bulk.

a b c (Å): 4.401 5.403 7.697
angles (deg): 98.75 86.42 98.71
Sites, in units of the cell vectors:
O: 0.902 0.269 0.171
O: 0.637 0.740 0.540
O: 0.042 0.802 0.249
O: 0.363 0.260 0.460
O: 0.397 0.217 0.991
O: 0.603 0.783 0.009
O: 0.958 0.198 0.751
O: 0.098 0.731 0.829
Pr: 0.527 0.445 0.735
Ag: 0.000 0.000 0.500
Pu: 0.000 0.000 0.000
Pr: 0.473 0.555 0.265

Values from the calculation:
Uncorrected formation energy: -26.9 eV per formula unit
DOS at the Fermi energy: 0.19 states/eV per cell
Symmetry: P-1

No. 6
First-principles (GGA-PBE) data for an optimized crystal structure of PrPuAgO6, as listed in Alexandria via LeMat-Bulk.

a b c (Å): 4.765 5.986 5.986
angles (deg): 120.00 90.00 90.00
Sites, in units of the cell vectors:
O: 0.277 0.286 0.276
O: 0.277 0.990 0.714
Pr: 0.500 0.667 0.333
O: 0.723 0.724 0.714
Ag: 0.000 0.333 0.667
Pu: 0.500 0.000 0.000
O: 0.723 0.286 0.010
O: 0.723 0.990 0.276
O: 0.277 0.724 0.010

Values from the calculation:
Uncorrected formation energy: -17.7 eV per formula unit
DOS at the Fermi energy: 4.36 states/eV per cell
Symmetry: P312

No. 7
First-principles (GGA-PBE) data for an optimized crystal structure of RbPrAgO3, as listed in Alexandria via LeMat-Bulk.

a b c (Å): 4.064 7.655 9.672
angles (deg): 110.81 90.00 90.00
Sites, in units of the cell vectors:
O: 0.250 0.531 0.883
O: 0.750 0.469 0.117
Rb: 0.750 0.808 0.825
Pr: 0.750 0.325 0.866
Ag: 0.750 0.973 0.373
O: 0.750 0.055 0.617
O: 0.250 0.945 0.383
Ag: 0.250 0.027 0.627
O: 0.250 0.129 0.867
Pr: 0.250 0.675 0.134
O: 0.750 0.871 0.133
Rb: 0.250 0.192 0.175

Values from the calculation:
Uncorrected formation energy: -9.8 eV per formula unit
DOS at the Fermi energy: 1.95 states/eV per cell
Symmetry: P2_1/m

No. 8
First-principles (GGA-PBE) data for an optimized crystal structure of RbPr2AgO4, as listed in Alexandria via LeMat-Bulk.

a b c (Å): 3.732 6.491 12.831
angles (deg): 90.00 90.00 106.71
Sites, in units of the cell vectors:
Rb: 0.915 0.830 0.250
O: 0.749 0.498 0.914
Rb: 0.085 0.170 0.750
Ag: 0.197 0.395 0.250
O: 0.000 0.000 0.500
Pr: 0.632 0.264 0.439
Pr: 0.368 0.736 0.561
Pr: 0.368 0.736 0.939
O: 0.749 0.498 0.586
Ag: 0.803 0.605 0.750
Pr: 0.632 0.264 0.061
O: 0.251 0.502 0.086
O: 0.000 0.000 0.000
O: 0.420 0.841 0.750
O: 0.580 0.159 0.250
O: 0.251 0.502 0.414

Values from the calculation:
Uncorrected formation energy: -17.7 eV per formula unit
DOS at the Fermi energy: 0.00 states/eV per cell
Symmetry: Cmcm